{
  "formula": "Mg2FeH2",
  "functional": "meta-GGA SCAN",
  "state": "PBEsol geometry",
  "sg": "P4/mbm (127)",
  "m_tot_mub_per_fu": 0.002,
  "dft_energy_ev_per_atom": -6.6283,
  "volume_a3_per_cell": 104,
  "cell": [[-0.640, -2.922, -1.316], [4.156, -2.289, 3.062], [-3.659, -1.073, 4.164]],
  "species": ["Fe", "H", "H", "Mg", "Mg", "Mg", "Fe", "Mg", "H", "H"],
  "frac_coords": [[0.000, 0.000, 0.000], [0.000, 0.320, 0.820], [0.000, 0.820, 0.680], [0.500, 0.683, 0.817], [0.500, 0.317, 0.183], [0.500, 0.183, 0.683], [0.000, 0.500, 0.500], [0.500, 0.817, 0.317], [0.000, 0.680, 0.180], [0.000, 0.180, 0.320]]
}

***

{
  "formula": "Cr2AgP",
  "functional": "meta-GGA SCAN",
  "state": "PBEsol geometry",
  "sg": "Immm (71)",
  "m_tot_mub_per_fu": 1.176,
  "dft_energy_ev_per_atom": -19.2748,
  "volume_a3_per_cell": 52,
  "ef_mev_per_atom": 359,
  "cell": [[-1.496, 1.019, 2.477], [0.617, -4.648, 0.384], [3.362, 2.550, 0.982]],
  "species": ["Cr", "Cr", "Ag", "P"],
  "frac_coords": [[0.210, 0.419, 0.210], [0.790, 0.581, 0.790], [0.000, 0.000, 0.500], [0.500, 0.000, 0.000]]
}

***

{
  "formula": "ZrHg2",
  "functional": "meta-GGA SCAN",
  "state": "PBEsol geometry",
  "sg": "C2/m (12)",
  "m_tot_mub_per_fu": 0.000,
  "dft_energy_ev_per_atom": -55.8405,
  "volume_a3_per_cell": 126,
  "ef_mev_per_atom": -164,
  "cell": [[-1.224, -3.088, 0.463], [6.057, -0.805, -1.509], [-0.220, 1.049, 6.412]],
  "species": ["Hg", "Hg", "Zr", "Hg", "Hg", "Zr"],
  "frac_coords": [[0.500, 0.999, 0.243], [0.162, 0.324, 0.584], [0.169, 0.339, 0.092], [0.500, 0.001, 0.757], [0.838, 0.676, 0.416], [0.831, 0.661, 0.908]]
}